! InSn2Te PBE-GGA optimized geometry; values from VASP
! - N(E_F) (states/eV/cell) = 2.47
! - energy above the most stable polymorph in this dataset (eV per atom) = 0.015
! - formation energy from raw total energies (eV per atom) = 0.016
! - space-group type = No. 123
! - ρ (Mg/m³) = 6.998
! - total energy (Ry/atom) = -0.254
&SYSTEM
  ibrav = 0, nat = 4, ntyp = 3
/
ATOMIC_SPECIES
In 114.82 In.upf
Sn 118.71 Sn.upf
Te 127.60 Te.upf
CELL_PARAMETERS angstrom
-3.0702 1.6856 -2.1232
-1.4809 -3.7296 -0.8195
-3.7628 0.2541 5.6428
ATOMIC_POSITIONS angstrom
In -4.1569 -0.8950 1.3501
Sn -0.9243 0.0624 1.3861
Sn -2.8385 0.1917 4.2568
Te -2.2755 -1.0220 -1.4713